This record from Alexandria via LeMat-Bulk describes crystalline SrAs2Os2 at its relaxed geometry. The functional is PBE.

```
SrAs2Os2
1.0
7.739 0.000 0.000
0.000 7.739 0.000
0.000 0.000 3.039
Sr As Os
2 4 4
direct
0.000 0.000 0.000
0.500 0.500 0.000
0.141 0.359 0.000
0.359 0.859 0.000
0.641 0.141 0.000
0.859 0.641 0.000
0.132 0.632 0.500
0.368 0.132 0.500
0.632 0.868 0.500
0.868 0.368 0.500
```

Computed properties:
energy of formation from the pure elements = 0.294 eV per atom
M_tot = 0.0 μB/cell
space group = P4/mbm, No. 127